A plane-wave DFT calculation with PBE was carried out for a relaxed TaNbRu2 crystal.

Unit cell a=6.126 b=5.525 c=5.517 alpha=67.40 beta=56.36 gamma=56.24
Positions (direct):
Ta (0.243, 0.243, 0.757)
Ta (0.757, 0.757, 0.243)
Nb (0.241, 0.759, 0.241)
Nb (0.759, 0.241, 0.759)
Ru (0.250, 0.250, 0.250)
Ru (0.273, 0.727, 0.727)
Ru (0.727, 0.273, 0.273)
Ru (0.750, 0.750, 0.750)

Results
As for the total energy: -0.38185 Ha/atom. As for the space group: Fmmm. For the calculated density, the calculation gives 12.3 g cm⁻³.

---

A plane-wave DFT calculation with PBE was carried out for a relaxed LaSbTe3 crystal.

Unit cell a=9.845 b=6.728 c=10.985 alpha=90.00 beta=98.71 gamma=90.00
Positions (direct):
La (0.129, 0.229, 0.161)
La (0.129, 0.271, 0.661)
La (0.871, 0.729, 0.339)
La (0.871, 0.771, 0.839)
Sb (0.416, 0.739, 0.073)
Sb (0.416, 0.761, 0.573)
Sb (0.584, 0.239, 0.427)
Sb (0.584, 0.261, 0.927)
Te (0.063, 0.729, 0.116)
Te (0.063, 0.771, 0.616)
Te (0.306, 0.117, 0.934)
Te (0.306, 0.383, 0.434)
Te (0.377, 0.552, 0.793)
Te (0.377, 0.948, 0.293)
Te (0.623, 0.052, 0.707)
Te (0.623, 0.448, 0.207)
Te (0.694, 0.617, 0.566)
Te (0.694, 0.883, 0.066)
Te (0.937, 0.229, 0.384)
Te (0.937, 0.271, 0.884)

Results
As for the total energy: -0.16308 Ha/atom. The value obtained for the relative energy among the computed polymorphs is 0.000 eV/atom. As for the space group: P2_1/c. The uncorrected formation energy is -742.6 meV/atom. For the calculated density, the calculation gives 5.9 g cm⁻³.

---

A plane-wave DFT calculation with PBE was carried out for a relaxed TiAg2F8 crystal.

Unit cell a=7.094 b=7.094 c=5.354 alpha=101.25 beta=101.25 gamma=32.48
Positions (direct):
Ti (0.000, 0.000, 0.000)
Ag (0.350, 0.350, 0.400)
Ag (0.650, 0.650, 0.600)
F (0.069, 0.069, 0.348)
F (0.130, 0.130, 0.941)
F (0.258, 0.258, 0.661)
F (0.469, 0.469, 0.181)
F (0.531, 0.531, 0.819)
F (0.742, 0.742, 0.339)
F (0.870, 0.870, 0.059)
F (0.931, 0.931, 0.652)

Results
As for the total energy: -0.16654 Ha/atom. The value obtained for the relative energy among the computed polymorphs is 0.155 eV/atom. As for the space group: C2/m. The uncorrected formation energy is -1934.6 meV/atom. For the calculated density, the calculation gives 4.9 g cm⁻³.

---

A plane-wave DFT calculation with PBE was carried out for a relaxed Dy4TmSb5 crystal.

Unit cell a=7.577 b=7.577 c=7.577 alpha=99.59 beta=99.59 gamma=131.81
Positions (direct):
Dy (0.099, 0.700, 0.799)
Dy (0.300, 0.099, 0.399)
Dy (0.700, 0.901, 0.601)
Dy (0.901, 0.300, 0.201)
Tm (0.500, 0.500, 0.000)
Sb (0.000, 0.000, 0.000)
Sb (0.202, 0.400, 0.602)
Sb (0.400, 0.798, 0.198)
Sb (0.600, 0.202, 0.802)
Sb (0.798, 0.600, 0.398)

Results
As for the total energy: -0.20094 Ha/atom. As for the space group: I4/m. The uncorrected formation energy is -1118.7 meV/atom. For the calculated density, the calculation gives 8.0 g cm⁻³.

---

A plane-wave DFT calculation with PBE was carried out for a relaxed Cs3SrBi2S6 crystal.

Unit cell a=7.406 b=7.406 c=8.451 alpha=98.42 beta=98.42 gamma=120.00
Positions (direct):
Cs (0.000, 0.000, 0.000)
Cs (0.338, 0.662, 0.000)
Cs (0.662, 0.338, 0.000)
Sr (0.500, 0.500, 0.500)
Bi (0.167, 0.833, 0.500)
Bi (0.833, 0.167, 0.500)
S (0.085, 0.436, 0.310)
S (0.212, 0.212, 0.688)
S (0.436, 0.085, 0.310)
S (0.564, 0.915, 0.690)
S (0.788, 0.788, 0.312)
S (0.915, 0.564, 0.690)

Results
As for the total energy: -0.14773 Ha/atom. As for the space group: C2/m. The uncorrected formation energy is -955.9 meV/atom. For the calculated density, the calculation gives 4.7 g cm⁻³.

---

A plane-wave DFT calculation with PBE was carried out for a relaxed LaCr2Au crystal.

Unit cell a=4.375 b=4.375 c=16.169 alpha=90.00 beta=90.00 gamma=120.00
Positions (direct):
La (0.000, 0.000, 0.000)
La (0.333, 0.667, 0.667)
La (0.667, 0.333, 0.333)
Cr (0.000, 0.000, 0.201)
Cr (0.000, 0.000, 0.529)
Cr (0.333, 0.667, 0.195)
Cr (0.333, 0.667, 0.868)
Cr (0.667, 0.333, 0.535)
Cr (0.667, 0.333, 0.862)
Au (0.000, 0.000, 0.790)
Au (0.333, 0.667, 0.456)
Au (0.667, 0.333, 0.123)

Results
As for the total energy: -0.24994 Ha/atom. The value obtained for the relative energy among the computed polymorphs is 0.000 eV/atom. As for the space group: R3m. For the calculated density, the calculation gives 8.2 g cm⁻³.